# 1
The following is a GGA-PBE calculation of NaCd2Te after structural relaxation, from Alexandria via LeMat-Bulk.

The formation energy (no corrections) comes out at -0.214 eV/atom. The density of states at the Fermi level is 10.32 states/eV/cell.

The structure belongs to space group I-42d (No. 122); the cell edges are 9.4235, 9.4235 and 5.7232 Å and the angles 90.00°, 90.00° and 90.00°. The distinct sites, in fractional coordinates, are Na at (0.0000, 0.0000, 0.0000), Cd at (0.1978, 0.2500, 0.6250) and Te at (0.0000, 0.0000, 0.5000).

=====

# 2
The following is a GGA-PBE calculation of ZrCrS2Cl after structural relaxation, from Alexandria via LeMat-Bulk.

The formation energy (no corrections) comes out at -0.507 eV/atom. The density of states at the Fermi level is 4.00 states/eV/cell. As for the offset from the most stable computed form: 0.0 meV/atom.

The structure belongs to space group P4/mmm (No. 123); the cell edges are 5.0002, 5.0002 and 4.9877 Å and the angles 90.00°, 90.00° and 90.00°. The distinct sites, in fractional coordinates, are Zr at (0.0000, 0.0000, 0.0000), Cr at (0.5000, 0.5000, 0.5000), S at (0.0000, 0.5000, 0.0000) and Cl at (0.0000, 0.0000, 0.5000).

=====

# 3
The following is a GGA-PBE calculation of In2Si2Au after structural relaxation, from Alexandria via LeMat-Bulk.

The formation energy (no corrections) comes out at 0.122 eV/atom. The density of states at the Fermi level is 4.18 states/eV/cell. As for the offset from the most stable computed form: 0.0 meV/atom.

The structure belongs to space group P4/mbm (No. 127); the cell edges are 6.3199, 6.3199 and 5.4652 Å and the angles 90.00°, 90.00° and 90.00°. The distinct sites, in fractional coordinates, are In at (0.1800, 0.3200, 0.0000), Si at (0.1310, 0.6310, 0.5000) and Au at (0.0000, 0.0000, 0.5000).

=====

# 4
The following is a GGA-PBE calculation of LiBe3Co after structural relaxation, from Alexandria via LeMat-Bulk.

Its energy of formation from the pure elements is 0.357 eV/atom. The density of states at the Fermi level is 1.64 states/eV/cell. As for the offset from the most stable computed form: 0.0 meV/atom.

The structure belongs to space group Pm-3m (No. 221); the cell edges are 3.9908, 3.9908 and 3.9908 Å and the angles 90.00°, 90.00° and 90.00°. The distinct sites, in fractional coordinates, are Li at (0.0000, 0.0000, 0.0000), Be at (0.0000, 0.5000, 0.5000) and Co at (0.5000, 0.5000, 0.5000).

=====

# 5
The following is a GGA-PBE calculation of K3LiGe after structural relaxation, from Alexandria via LeMat-Bulk.

Its energy of formation from the pure elements is 0.301 eV/atom. The density of states at the Fermi level is 2.00 states/eV/cell. As for the offset from the most stable computed form: 0.0 meV/atom.

The structure belongs to space group Pm-3m (No. 221); the cell edges are 6.5888, 6.5888 and 6.5888 Å and the angles 90.00°, 90.00° and 90.00°. The distinct sites, in fractional coordinates, are K at (0.0000, 0.0000, 0.5000), Li at (0.5000, 0.5000, 0.5000) and Ge at (0.0000, 0.0000, 0.0000).

=====

# 6
The following is a GGA-PBE calculation of Sr2MnNi after structural relaxation, from Alexandria via LeMat-Bulk.

Its energy of formation from the pure elements is 0.285 eV/atom. The density of states at the Fermi level is 7.19 states/eV/cell.

The structure belongs to space group Imm2 (No. 44); the cell edges are 4.0142, 4.7296 and 12.7113 Å and the angles 90.00°, 90.00° and 90.00°. The distinct sites, in fractional coordinates, are Sr at (0.0000, 0.0000, 0.0000), Sr at (0.0000, 0.5000, 0.2383), Mn at (0.0000, 0.5000, 0.8156) and Ni at (0.0000, 0.0000, 0.4159).